Record 1
Here is a PBEsol-optimized structure of Tc2OsRu from the Alexandria database. Energies are from meta-GGA SCAN.

The structure belongs to space group Cm (No. 8); the cell edges are 8.937, 2.693 and 4.669 Å and the angles 90.00°, 99.93° and 90.00°. Symmetry generates all atoms from Tc at (0.000, 0.000, 0.000), Tc at (0.245, 0.000, 0.738), Os at (0.498, 0.000, 0.499) and Ru at (0.247, 0.500, 0.240).

The calculated formation energy comes out at 0.055 eV per atom. The density comes out at 14.62 g/cm3.


Record 2
Here is a PBEsol-optimized structure of RbPb3F from the Alexandria database. Energies are from meta-GGA SCAN.

The structure belongs to space group Pm-3m (No. 221); the cell edges are 5.252, 5.252 and 5.252 Å and the angles 90.00°, 90.00° and 90.00°. Symmetry generates all atoms from Rb at (0.000, 0.000, 0.000), Pb at (0.000, 0.500, 0.500) and F at (0.500, 0.500, 0.500).

The uncorrected formation energy comes out at -0.52 eV per atom. The density comes out at 8.32 g/cm3.


Record 3
Here is a PBEsol-optimized structure of TlSn3B from the Alexandria database. Energies are from meta-GGA SCAN.

The structure belongs to space group Pm-3m (No. 221); the cell edges are 5.597, 5.597 and 5.597 Å and the angles 90.00°, 90.00° and 90.00°. Symmetry generates all atoms from Tl at (0.000, 0.000, 0.000), Sn at (0.000, 0.000, 0.500) and B at (0.500, 0.500, 0.500).

The calculated formation energy comes out at 1.739 eV per atom. The density comes out at 5.41 g/cm3.


Record 4
Here is a PBEsol-optimized structure of Ru2W from the Alexandria database. Energies are from meta-GGA SCAN.

The structure belongs to space group I4_1/amd (No. 141, origin choice 2); the cell edges are 3.808, 3.808 and 23.389 Å and the angles 90.00°, 90.00° and 90.00°. Symmetry generates all atoms from Ru at (0.000, 0.250, 0.124), Ru at (0.000, 0.250, 0.293) and W at (0.000, 0.250, 0.796).

The calculated formation energy comes out at -0.001 eV per atom. The density comes out at 15.12 g/cm3.


Record 5
Here is a PBEsol-optimized structure of CaLa3Tc from the Alexandria database. Energies are from meta-GGA SCAN.

The structure belongs to space group Pm-3m (No. 221); the cell edges are 5.531, 5.531 and 5.531 Å and the angles 90.00°, 90.00° and 90.00°. Symmetry generates all atoms from Ca at (0.000, 0.000, 0.000), La at (0.000, 0.500, 0.500) and Tc at (0.500, 0.500, 0.500).

The calculated formation energy comes out at -0.006 eV per atom. The density comes out at 5.44 g/cm3.


Record 6
Here is a PBEsol-optimized structure of LaRe2Se from the Alexandria database. Energies are from meta-GGA SCAN.

The structure belongs to space group Cmmm (No. 65); the cell edges are 5.419, 9.137 and 3.046 Å and the angles 90.00°, 90.00° and 90.00°. Symmetry generates all atoms from La at (0.000, 0.000, 0.000), Re at (0.250, 0.250, 0.500) and Se at (0.000, 0.500, 0.000).

The uncorrected formation energy comes out at 0.93 eV per atom. The density comes out at 13.00 g/cm3.


Record 7
Here is a PBEsol-optimized structure of YCr2P from the Alexandria database. Energies are from meta-GGA SCAN.

The structure belongs to space group Imm2 (No. 44); the cell edges are 3.867, 3.895 and 8.796 Å and the angles 90.00°, 90.00° and 90.00°. Symmetry generates all atoms from Y at (0.000, 0.000, 0.000), Cr at (0.000, 0.000, 0.599), Cr at (0.000, 0.500, 0.758) and P at (0.000, 0.500, 0.256).

The calculated formation energy comes out at -0.176 eV per atom. The density comes out at 5.61 g/cm3.


Record 8
Here is a PBEsol-optimized structure of La2ZnHg from the Alexandria database. Energies are from meta-GGA SCAN.

The structure belongs to space group Pmm2 (No. 25); the cell edges are 3.684, 5.126 and 5.471 Å and the angles 90.00°, 90.00° and 90.00°. Symmetry generates all atoms from La at (0.000, 0.000, 0.000), La at (0.000, 0.500, 0.397), Zn at (0.500, 0.500, 0.884) and Hg at (0.500, 0.000, 0.525).

The calculated formation energy comes out at -0.531 eV per atom. The density comes out at 8.74 g/cm3.


Record 9
Here is a PBEsol-optimized structure of HgH2SO5 from the Alexandria database. Energies are from meta-GGA SCAN.

The structure belongs to space group Pna2_1 (No. 33); the cell edges are 7.791, 8.944 and 5.499 Å and the angles 90.00°, 90.00° and 90.00°. Symmetry generates all atoms from Hg at (0.142, 0.214, 0.000), H at (0.034, 0.488, 0.148), H at (0.209, 0.511, 0.001), S at (0.086, 0.861, 0.999), O at (0.086, 0.073, 0.501), O at (0.095, 0.460, 0.997), O at (0.109, 0.768, 0.777), O at (0.110, 0.765, 0.219) and O at (0.222, 0.981, 0.000).

The calculation puts the total energy at -0.5149 Ha/atom. The density comes out at 5.45 g/cm3.


Record 10
Here is a PBEsol-optimized structure of ZrSbMo2 from the Alexandria database. Energies are from meta-GGA SCAN.

The structure belongs to space group Imm2 (No. 44); the cell edges are 3.408, 4.495 and 9.236 Å and the angles 90.00°, 90.00° and 90.00°. Symmetry generates all atoms from Zr at (0.000, 0.000, 0.000), Sb at (0.000, 0.500, 0.231), Mo at (0.000, 0.000, 0.481) and Mo at (0.000, 0.500, 0.753).

The uncorrected formation energy comes out at -0.10 eV per atom. The density comes out at 9.50 g/cm3.


Record 11
Here is a PBEsol-optimized structure of Ta2CoCu from the Alexandria database. Energies are from meta-GGA SCAN.

The structure belongs to space group Pm (No. 6); the cell edges are 2.751, 4.369 and 4.703 Å and the angles 90.00°, 95.37° and 90.00°. Symmetry generates all atoms from Ta at (0.000, 0.000, 0.000), Ta at (0.166, 0.500, 0.617), Co at (0.593, 0.500, 0.131) and Cu at (0.588, 0.000, 0.474).

The calculated formation energy comes out at 0.038 eV per atom. The density comes out at 14.29 g/cm3.


Record 12
Here is a PBEsol-optimized structure of SrZrPb2 from the Alexandria database. Energies are from meta-GGA SCAN.

The structure belongs to space group Cm (No. 8); the cell edges are 11.988, 3.384 and 5.471 Å and the angles 90.00°, 98.54° and 90.00°. Symmetry generates all atoms from Sr at (0.000, 0.000, 0.000), Zr at (0.260, 0.000, 0.454), Pb at (0.028, 0.500, 0.507) and Pb at (0.241, 0.500, 0.949).

The calculated formation energy comes out at -0.307 eV per atom. The density comes out at 8.98 g/cm3.


Record 13
Here is a PBEsol-optimized structure of Ge2BiS from the Alexandria database. Energies are from meta-GGA SCAN.

The structure belongs to space group Fm-3m (No. 225); the cell edges are 6.940, 6.940 and 6.940 Å and the angles 90.00°, 90.00° and 90.00°. Symmetry generates all atoms from Ge at (0.250, 0.250, 0.250), Bi at (0.000, 0.000, 0.000) and S at (0.000, 0.000, 0.500).

The uncorrected formation energy comes out at 0.43 eV per atom. The density comes out at 7.68 g/cm3.


Record 14
Here is a PBEsol-optimized structure of TlNi2Ag from the Alexandria database. Energies are from meta-GGA SCAN.

The structure belongs to space group R-3m (No. 166, hexagonal axes); the cell edges are 2.9702, 2.9702 and 24.0732 Å and the angles 90.00°, 90.00° and 120.00°. Symmetry generates all atoms from Tl at (0.0000, 0.0000, 0.0000), Ni at (0.0000, 0.0000, 0.2494) and Ag at (0.0000, 0.0000, 0.5000).

The calculated formation energy comes out at 0.527 eV per atom. The density comes out at 11.64 g/cm3.


Record 15
Here is a PBEsol-optimized structure of Fe2TeW from the Alexandria database. Energies are from meta-GGA SCAN.

The structure belongs to space group Pmmm (No. 47); the cell edges are 3.238, 4.069 and 4.349 Å and the angles 90.00°, 90.00° and 90.00°. Symmetry generates all atoms from Fe at (0.000, 0.000, 0.000), Fe at (0.500, 0.000, 0.500), Te at (0.000, 0.500, 0.500) and W at (0.500, 0.500, 0.000).

The uncorrected formation energy comes out at 0.56 eV per atom. The density comes out at 12.26 g/cm3.


Record 16
Here is a PBEsol-optimized structure of BaHg2Pb from the Alexandria database. Energies are from meta-GGA SCAN.

The structure belongs to space group P4/mmm (No. 123); the cell edges are 3.921, 3.921 and 7.643 Å and the angles 90.00°, 90.00° and 90.00°. Symmetry generates all atoms from Ba at (0.000, 0.000, 0.000), Hg at (0.500, 0.500, 0.275) and Pb at (0.000, 0.000, 0.500).

The calculated formation energy comes out at -0.457 eV per atom. The density comes out at 10.54 g/cm3.


Record 17
Here is a PBEsol-optimized structure of LaZnRh from the Alexandria database. Energies are from meta-GGA SCAN.

The structure belongs to space group P-6m2 (No. 187); the cell edges are 4.3161, 4.3161 and 3.9090 Å and the angles 90.00°, 90.00° and 120.00°. Symmetry generates all atoms from La at (0.0000, 0.0000, 0.0000), Zn at (0.6667, 0.3333, 0.5000) and Rh at (0.3333, 0.6667, 0.5000).

The calculated formation energy comes out at -0.655 eV per atom. The density comes out at 8.09 g/cm3.


Record 18
Here is a PBEsol-optimized structure of NiAsRu2 from the Alexandria database. Energies are from meta-GGA SCAN.

The structure belongs to space group Pmm2 (No. 25); the cell edges are 2.778, 3.600 and 5.226 Å and the angles 90.00°, 90.00° and 90.00°. Symmetry generates all atoms from Ni at (0.000, 0.000, 0.000), As at (0.500, 0.500, 0.767), Ru at (0.000, 0.000, 0.485) and Ru at (0.500, 0.500, 0.242).

The calculated formation energy comes out at 0.094 eV per atom. The density comes out at 10.67 g/cm3.


Record 19
Here is a PBEsol-optimized structure of SiPAu2 from the Alexandria database. Energies are from meta-GGA SCAN.

The structure belongs to space group I-42d (No. 122); the cell edges are 6.055, 6.055 and 8.788 Å and the angles 90.00°, 90.00° and 90.00°. Symmetry generates all atoms from Si at (0.000, 0.000, 0.000), P at (0.000, 0.000, 0.500) and Au at (0.247, 0.750, 0.625).

The uncorrected formation energy comes out at 0.14 eV per atom. The density comes out at 9.34 g/cm3.


Record 20
Here is a PBEsol-optimized structure of GaTc2Pb from the Alexandria database. Energies are from meta-GGA SCAN.

The structure belongs to space group Fm-3m (No. 225); the cell edges are 6.349, 6.349 and 6.349 Å and the angles 90.00°, 90.00° and 90.00°. Symmetry generates all atoms from Ga at (0.000, 0.000, 0.000), Tc at (0.250, 0.250, 0.250) and Pb at (0.000, 0.000, 0.500).

The calculated formation energy comes out at 0.531 eV per atom. The density comes out at 12.28 g/cm3.


Record 21
Here is a PBEsol-optimized structure of BeSiRu2 from the Alexandria database. Energies are from meta-GGA SCAN.

The structure belongs to space group Cmm2 (No. 35); the cell edges are 2.766, 4.508 and 8.010 Å and the angles 90.00°, 90.00° and 90.00°. Symmetry generates all atoms from Be at (0.000, 0.000, 0.000), Si at (0.000, 0.500, 0.246), Ru at (0.000, 0.000, 0.488) and Ru at (0.000, 0.500, 0.773).

The uncorrected formation energy comes out at 0.25 eV per atom. The density comes out at 7.95 g/cm3.


Record 22
Here is a PBEsol-optimized structure of BaLa3Ru from the Alexandria database. Energies are from meta-GGA SCAN.

The structure belongs to space group Pm-3m (No. 221); the cell edges are 5.619, 5.619 and 5.619 Å and the angles 90.00°, 90.00° and 90.00°. Symmetry generates all atoms from Ba at (0.000, 0.000, 0.000), La at (0.000, 0.500, 0.500) and Ru at (0.500, 0.500, 0.500).

The calculated formation energy comes out at -0.135 eV per atom. The density comes out at 6.13 g/cm3.


Record 23
Here is a PBEsol-optimized structure of SbPIrO2 from the Alexandria database. Energies are from meta-GGA SCAN.

The structure belongs to space group P4/mmm (No. 123); the cell edges are 3.763, 3.763 and 5.469 Å and the angles 90.00°, 90.00° and 90.00°. Symmetry generates all atoms from Sb at (0.000, 0.000, 0.000), P at (0.000, 0.000, 0.500), Ir at (0.500, 0.500, 0.500) and O at (0.000, 0.500, 0.000).

The uncorrected formation energy comes out at 0.17 eV per atom. The density comes out at 8.08 g/cm3.


Record 24
Here is a PBEsol-optimized structure of La2AlSi from the Alexandria database. Energies are from meta-GGA SCAN.

The structure belongs to space group Imm2 (No. 44); the cell edges are 3.959, 4.747 and 10.388 Å and the angles 90.00°, 90.00° and 90.00°. Symmetry generates all atoms from La at (0.000, 0.000, 0.000), La at (0.000, 0.500, 0.218), Al at (0.000, 0.000, 0.435) and Si at (0.000, 0.500, 0.781).

The uncorrected formation energy comes out at -0.58 eV per atom. The density comes out at 5.66 g/cm3.


Record 25
Here is a PBEsol-optimized structure of NiAg2Cl from the Alexandria database. Energies are from meta-GGA SCAN.

The structure belongs to space group I-4m2 (No. 119); the cell edges are 4.015, 4.015 and 7.853 Å and the angles 90.00°, 90.00° and 90.00°. Symmetry generates all atoms from Ni at (0.000, 0.000, 0.000), Ag at (0.000, 0.000, 0.500), Ag at (0.000, 0.500, 0.250) and Cl at (0.000, 0.500, 0.750).

The uncorrected formation energy comes out at 0.46 eV per atom. The density comes out at 8.13 g/cm3.


Record 26
Here is a PBEsol-optimized structure of La2AlTl from the Alexandria database. Energies are from meta-GGA SCAN.

The structure belongs to space group I4/mmm (No. 139); the cell edges are 4.997, 4.997 and 8.899 Å and the angles 90.00°, 90.00° and 90.00°. Symmetry generates all atoms from La at (0.000, 0.500, 0.250), Al at (0.000, 0.000, 0.000) and Tl at (0.000, 0.000, 0.500).

The calculated formation energy comes out at -0.485 eV per atom. The density comes out at 7.61 g/cm3.


Record 27
Here is a PBEsol-optimized structure of Sc2TcOs from the Alexandria database. Energies are from meta-GGA SCAN.

The structure belongs to space group R3m (No. 160, hexagonal axes); the cell edges are 2.9102, 2.9102 and 28.2733 Å and the angles 90.00°, 90.00° and 120.00°. Symmetry generates all atoms from Sc at (0.0000, 0.0000, 0.0000), Sc at (0.0000, 0.0000, 0.2318), Tc at (0.0000, 0.0000, 0.7473) and Os at (0.0000, 0.0000, 0.4851).

The calculated formation energy comes out at 0.208 eV per atom. The density comes out at 9.08 g/cm3.


Record 28
Here is a PBEsol-optimized structure of ZrSbCl2 from the Alexandria database. Energies are from meta-GGA SCAN.

The structure belongs to space group I-4m2 (No. 119); the cell edges are 4.347, 4.347 and 8.732 Å and the angles 90.00°, 90.00° and 90.00°. Symmetry generates all atoms from Zr at (0.000, 0.000, 0.000), Sb at (0.000, 0.500, 0.750), Cl at (0.000, 0.000, 0.500) and Cl at (0.000, 0.500, 0.250).

The uncorrected formation energy comes out at -0.43 eV per atom. The density comes out at 5.71 g/cm3.